*one*
Computed, not measured: a geometry-optimized RbTmB4 structure at the GGA-PBE level of DFT.

Cell lengths 3.123, 7.868, 7.903 Å; angles 90.00, 90.00, 90.00 degrees
Space group Immm (No. 71)
Unique sites:
Rb 0.000 0.000 0.000
Tm 0.000 0.500 0.000
B 0.000 0.243 0.265

- magnetization (Bohr magnetons per cell) = 0.01

=====

*two*
Computed, not measured: a geometry-optimized RbTmB4 structure at the GGA-PBE level of DFT.

Cell lengths 3.2212, 3.2212, 8.9966 Å; angles 90.00, 90.00, 120.00 degrees
Space group P6/mmm (No. 191)
Unique sites:
Rb 0.0000 0.0000 0.0000
Tm 0.0000 0.0000 0.5000
B 0.3333 0.6667 0.2947

- magnetization (Bohr magnetons per cell) = 0.02

=====

Energy ordering: *two* at the bottom, the next structure 204 meV per atom above.

=====

*one*
Computed, not measured: a geometry-optimized RbZnB4 structure at the GGA-PBE level of DFT.

Cell lengths 2.720, 5.751, 9.889 Å; angles 90.00, 90.00, 90.00 degrees
Space group Immm (No. 71)
Unique sites:
Rb 0.000 0.000 0.000
Zn 0.000 0.000 0.500
B 0.000 0.351 0.240

=====

*two*
Computed, not measured: a geometry-optimized RbZnB4 structure at the GGA-PBE level of DFT.

Cell lengths 3.0954, 3.0954, 8.6282 Å; angles 90.00, 90.00, 120.00 degrees
Space group P6/mmm (No. 191)
Unique sites:
Rb 0.0000 0.0000 0.0000
Zn 0.0000 0.0000 0.5000
B 0.3333 0.6667 0.3074

=====

Energy ordering: *two* at the bottom, the next structure 245 meV per atom above.

=====

*one*
Computed, not measured: a geometry-optimized ReB3 structure at the GGA-PBE level of DFT.

Cell lengths 2.8993, 2.8993, 9.2962 Å; angles 90.00, 90.00, 120.00 degrees
Space group P6_3/mmc (No. 194)
Unique sites:
Re 0.0000 0.0000 0.0000
B 0.0000 0.0000 0.2500
B 0.3333 0.6667 0.1626

- magnetization (Bohr magnetons per cell) = 0.00

=====

*two*
Computed, not measured: a geometry-optimized ReB3 structure at the GGA-PBE level of DFT.

Cell lengths 2.9195, 2.9195, 4.5856 Å; angles 90.00, 90.00, 120.00 degrees
Space group P-6m2 (No. 187)
Unique sites:
Re 0.0000 0.0000 0.0000
B 0.0000 0.0000 0.5000
B 0.3333 0.6667 0.3196

- magnetization (Bohr magnetons per cell) = 0.00

=====

Energy ordering: *two* at the bottom, the next structure 58 meV per atom above.

=====

*one*
Computed, not measured: a geometry-optimized Re2B structure at the GGA-PBE level of DFT.

Cell lengths 7.137, 7.137, 7.137 Å; angles 90.00, 90.00, 90.00 degrees
Space group Fd-3m (No. 227, origin choice 2)
Unique sites:
Re 0.000 0.000 0.000
B 0.125 0.125 0.625

- magnetization (Bohr magnetons per cell) = 0.06

=====

*two*
Computed, not measured: a geometry-optimized Re2B structure at the GGA-PBE level of DFT.

Cell lengths 8.914, 8.914, 8.914 Å; angles 90.00, 90.00, 90.00 degrees
Space group Fd-3m (No. 227, origin choice 2)
Unique sites:
Re 0.000 0.000 0.000
B 0.125 0.125 0.125

- magnetization (Bohr magnetons per cell) = 0.09

=====

Energy ordering: *one* at the bottom, the next structure 1379 meV per atom above.

=====

*one*
Computed, not measured: a geometry-optimized ReB4Sb structure at the GGA-PBE level of DFT.

Cell lengths 3.081, 5.413, 7.325 Å; angles 90.00, 90.00, 90.00 degrees
Space group Immm (No. 71)
Unique sites:
Re 0.000 0.000 0.000
B 0.000 0.337 0.256
Sb 0.000 0.000 0.500

- magnetization (Bohr magnetons per cell) = 0.01

=====

*two*
Computed, not measured: a geometry-optimized ReB4Sb structure at the GGA-PBE level of DFT.

Cell lengths 2.9825, 2.9825, 8.5780 Å; angles 90.00, 90.00, 120.00 degrees
Space group P6/mmm (No. 191)
Unique sites:
Re 0.0000 0.0000 0.0000
B 0.3333 0.6667 0.1965
Sb 0.0000 0.0000 0.5000

- magnetization (Bohr magnetons per cell) = 0.00

=====

Energy ordering: *two* at the bottom, the next structure 341 meV per atom above.

=====

*one*
Computed, not measured: a geometry-optimized ScReB4 structure at the GGA-PBE level of DFT.

Cell lengths 5.854, 11.284, 3.519 Å; angles 90.00, 90.00, 90.00 degrees
Space group Pbam (No. 55)
Unique sites:
Sc 0.129 0.148 0.000
Re 0.137 0.411 0.000
B 0.018 0.696 0.500
B 0.116 0.550 0.500
B 0.133 0.969 0.500
B 0.205 0.814 0.500

- magnetization (Bohr magnetons per cell) = 0.02

=====

*two*
Computed, not measured: a geometry-optimized ScReB4 structure at the GGA-PBE level of DFT.

Cell lengths 3.073, 5.264, 6.666 Å; angles 90.00, 90.00, 90.00 degrees
Space group Immm (No. 71)
Unique sites:
Sc 0.000 0.000 0.000
Re 0.000 0.000 0.500
B 0.000 0.335 0.253

- magnetization (Bohr magnetons per cell) = 0.00

=====

Energy ordering: *one* at the bottom, the next structure 70 meV per atom above.

=====

*one*
Computed, not measured: a geometry-optimized SmReB4 structure at the GGA-PBE level of DFT.

Cell lengths 3.173, 5.431, 7.243 Å; angles 90.00, 90.00, 90.00 degrees
Space group Immm (No. 71)
Unique sites:
Sm 0.000 0.000 0.000
Re 0.000 0.000 0.500
B 0.000 0.337 0.247

- magnetization (Bohr magnetons per cell) = 0.00

=====

*two*
Computed, not measured: a geometry-optimized SmReB4 structure at the GGA-PBE level of DFT.

Cell lengths 3.1520, 3.1520, 7.2206 Å; angles 90.00, 90.00, 120.00 degrees
Space group P6/mmm (No. 191)
Unique sites:
Sm 0.0000 0.0000 0.0000
Re 0.0000 0.0000 0.5000
B 0.3333 0.6667 0.2824

- magnetization (Bohr magnetons per cell) = 0.00

=====

Energy ordering: *two* at the bottom, the next structure 87 meV per atom above.

=====

*one*
Computed, not measured: a geometry-optimized SrReB structure at the GGA-PBE level of DFT.

Cell lengths 6.682, 6.682, 6.682 Å; angles 90.00, 90.00, 90.00 degrees
Space group F-43m (No. 216)
Unique sites:
Sr 0.000 0.000 0.000
Re 0.250 0.250 0.250
B 0.250 0.250 0.750

- magnetization (Bohr magnetons per cell) = 9.90

=====

*two*
Computed, not measured: a geometry-optimized SrReB structure at the GGA-PBE level of DFT.

Cell lengths 6.033, 6.033, 6.033 Å; angles 90.00, 90.00, 90.00 degrees
Space group F-43m (No. 216)
Unique sites:
Sr 0.000 0.000 0.000
Re 0.000 0.000 0.500
B 0.250 0.250 0.750

- magnetization (Bohr magnetons per cell) = 4.51

=====

Energy ordering: *two* at the bottom, the next structure 1403 meV per atom above.

=====

*one*
Computed, not measured: a geometry-optimized TaReB structure at the GGA-PBE level of DFT.

Cell lengths 5.802, 5.802, 5.802 Å; angles 90.00, 90.00, 90.00 degrees
Space group F-43m (No. 216)
Unique sites:
Ta 0.000 0.000 0.000
Re 0.250 0.250 0.750
B 0.000 0.000 0.500

- magnetization (Bohr magnetons per cell) = 0.01

=====

*two*
Computed, not measured: a geometry-optimized TaReB structure at the GGA-PBE level of DFT.

Cell lengths 6.008, 4.276, 6.249 Å; angles 90.00, 90.00, 90.00 degrees
Space group Pnma (No. 62)
Unique sites:
Ta 0.036 0.250 0.164
Re 0.137 0.750 0.396
B 0.220 0.250 0.551

- magnetization (Bohr magnetons per cell) = 0.01

=====

*three*
Computed, not measured: a geometry-optimized TaReB structure at the GGA-PBE level of DFT.

Cell lengths 5.844, 5.844, 5.844 Å; angles 90.00, 90.00, 90.00 degrees
Space group F-43m (No. 216)
Unique sites:
Ta 0.000 0.000 0.000
Re 0.250 0.250 0.250
B 0.250 0.250 0.750

- magnetization (Bohr magnetons per cell) = 0.01

=====

*four*
Computed, not measured: a geometry-optimized TaReB structure at the GGA-PBE level of DFT.

Cell lengths 6.408, 3.158, 7.550 Å; angles 90.00, 90.00, 90.00 degrees
Space group Pnma (No. 62)
Unique sites:
Ta 0.017 0.250 0.174
Re 0.156 0.250 0.559
B 0.226 0.750 0.351

- magnetization (Bohr magnetons per cell) = 0.00

=====

Energy ordering: *four* at the bottom, the next structure 406 meV per atom above.

=====

*one*
Computed, not measured: a geometry-optimized TbReB4 structure at the GGA-PBE level of DFT.

Cell lengths 5.976, 11.563, 3.617 Å; angles 90.00, 90.00, 90.00 degrees
Space group Pbam (No. 55)
Unique sites:
Tb 0.126 0.151 0.000
Re 0.132 0.413 0.000
B 0.023 0.692 0.500
B 0.114 0.547 0.500
B 0.137 0.968 0.500
B 0.213 0.815 0.500

- magnetization (Bohr magnetons per cell) = 0.00

=====

*two*
Computed, not measured: a geometry-optimized TbReB4 structure at the GGA-PBE level of DFT.

Cell lengths 3.1407, 3.1407, 7.0609 Å; angles 90.00, 90.00, 120.00 degrees
Space group P6/mmm (No. 191)
Unique sites:
Tb 0.0000 0.0000 0.0000
Re 0.0000 0.0000 0.5000
B 0.3333 0.6667 0.2765

- magnetization (Bohr magnetons per cell) = 0.00

=====

*three*
Computed, not measured: a geometry-optimized TbReB4 structure at the GGA-PBE level of DFT.

Cell lengths 3.156, 5.386, 7.091 Å; angles 90.00, 90.00, 90.00 degrees
Space group Immm (No. 71)
Unique sites:
Tb 0.000 0.000 0.000
Re 0.000 0.000 0.500
B 0.000 0.337 0.249

- magnetization (Bohr magnetons per cell) = 0.00

=====

Energy ordering: *one* at the bottom, the next structure 324 meV per atom above.

=====

*one*
Computed, not measured: a geometry-optimized ThReB4 structure at the GGA-PBE level of DFT.

Cell lengths 3.168, 5.396, 7.821 Å; angles 90.00, 90.00, 90.00 degrees
Space group Immm (No. 71)
Unique sites:
Th 0.000 0.000 0.000
Re 0.000 0.000 0.500
B 0.000 0.333 0.247

- magnetization (Bohr magnetons per cell) = 0.00

=====

*two*
Computed, not measured: a geometry-optimized ThReB4 structure at the GGA-PBE level of DFT.

Cell lengths 7.478, 9.569, 3.732 Å; angles 90.00, 90.00, 90.00 degrees
Space group Cmmm (No. 65)
Unique sites:
Th 0.000 0.198 0.000
Re 0.181 0.500 0.000
B 0.000 0.411 0.500
B 0.129 0.000 0.500
B 0.219 0.344 0.500

- magnetization (Bohr magnetons per cell) = 0.02

=====

Energy ordering: *two* at the bottom, the next structure 580 meV per atom above.